1.
This record from Alexandria describes a relaxed structure of SrCr2O7. The functional is GGA+U.

POSCAR file:
```
SrCr2O7
1.0
11.3401 0.0000 0.0000
0.0000 11.3401 0.0000
0.0000 0.0000 9.8108
Sr Cr O
8 16 56
Direct
0.0498 0.5498 0.2500 Sr
0.0498 0.9502 0.2500 Sr
0.4502 0.5498 0.2500 Sr
0.4502 0.9502 0.2500 Sr
0.5498 0.0498 0.7500 Sr
0.5498 0.4502 0.7500 Sr
0.9502 0.0498 0.7500 Sr
0.9502 0.4502 0.7500 Sr
0.1003 0.7500 0.5521 Cr
0.1103 0.2500 0.0172 Cr
0.2500 0.1103 0.5172 Cr
0.2500 0.3897 0.5172 Cr
0.2500 0.6003 0.9479 Cr
0.2500 0.8997 0.9479 Cr
0.3897 0.2500 0.0172 Cr
0.3997 0.7500 0.5521 Cr
0.6003 0.2500 0.4479 Cr
0.6103 0.7500 0.9828 Cr
0.7500 0.1003 0.0521 Cr
0.7500 0.3997 0.0521 Cr
0.7500 0.6103 0.4828 Cr
0.7500 0.8897 0.4828 Cr
0.8897 0.7500 0.9828 Cr
0.8997 0.2500 0.4479 Cr
0.0079 0.2500 0.8961 O
0.0358 0.6321 0.6102 O
0.0358 0.8679 0.6102 O
0.0948 0.7500 0.3829 O
0.1010 0.1335 0.1127 O
0.1010 0.3665 0.1127 O
0.1321 0.5358 0.8898 O
0.1321 0.9642 0.8898 O
0.1335 0.1010 0.6127 O
0.1335 0.3990 0.6127 O
0.2500 0.0079 0.3961 O
0.2500 0.2500 0.4352 O
0.2500 0.2500 0.9352 O
0.2500 0.4921 0.3961 O
0.2500 0.5948 0.1171 O
0.2500 0.7500 0.6030 O
0.2500 0.7500 0.8970 O
0.2500 0.9052 0.1171 O
0.3665 0.1010 0.6127 O
0.3665 0.3990 0.6127 O
0.3679 0.5358 0.8898 O
0.3679 0.9642 0.8898 O
0.3990 0.1335 0.1127 O
0.3990 0.3665 0.1127 O
0.4052 0.7500 0.3829 O
0.4642 0.6321 0.6102 O
0.4642 0.8679 0.6102 O
0.4921 0.2500 0.8961 O
0.5079 0.7500 0.1039 O
0.5358 0.1321 0.3898 O
0.5358 0.3679 0.3898 O
0.5948 0.2500 0.6171 O
0.6010 0.6335 0.8873 O
0.6010 0.8665 0.8873 O
0.6321 0.0358 0.1102 O
0.6321 0.4642 0.1102 O
0.6335 0.6010 0.3873 O
0.6335 0.8990 0.3873 O
0.7500 0.0948 0.8829 O
0.7500 0.2500 0.1030 O
0.7500 0.2500 0.3970 O
0.7500 0.4052 0.8829 O
0.7500 0.5079 0.6039 O
0.7500 0.7500 0.0648 O
0.7500 0.7500 0.5648 O
0.7500 0.9921 0.6039 O
0.8665 0.6010 0.3873 O
0.8665 0.8990 0.3873 O
0.8679 0.0358 0.1102 O
0.8679 0.4642 0.1102 O
0.8990 0.6335 0.8873 O
0.8990 0.8665 0.8873 O
0.9052 0.2500 0.6171 O
0.9642 0.1321 0.3898 O
0.9642 0.3679 0.3898 O
0.9921 0.7500 0.1039 O
```

**SG**: P4_2/nmc (137)
**D(E_F)**: 0.00 states/eV/f.u.
**Total energy**: -6.773 eV per atom
**Magnetic moment**: 0.00 μB per cell


2.
This record from Alexandria describes a relaxed structure of Sr4Cr3O10. The functional is GGA+U.

POSCAR file:
```
Sr4Cr3O10
1.0
-1.9385 1.9385 14.1155
1.9385 -1.9385 14.1155
1.9385 1.9385 -14.1155
Sr Cr O
4 3 10
Direct
0.0678 0.0678 0.0000 Sr
0.2026 0.2026 0.0000 Sr
0.7974 0.7974 0.0000 Sr
0.9322 0.9322 0.0000 Sr
0.3600 0.3600 0.0000 Cr
0.5000 0.5000 0.0000 Cr
0.6400 0.6400 0.0000 Cr
0.0000 0.5000 0.5000 O
0.1367 0.6367 0.5000 O
0.2907 0.2907 0.0000 O
0.3633 0.8633 0.5000 O
0.4341 0.4341 0.0000 O
0.5000 0.0000 0.5000 O
0.5659 0.5659 0.0000 O
0.6367 0.1367 0.5000 O
0.7093 0.7093 0.0000 O
0.8633 0.3633 0.5000 O
```

**SG**: I4/mmm (139)
**D(E_F)**: 3.71 states/eV/f.u.
**Total energy**: -6.891 eV per atom
**Magnetic moment**: 6.00 μB per cell


- What is the D(E_F) in the second record?
  3.71 states/eV/f.u.


- What is the total energy in the first record?
  -6.773 eV per atom